# 1
{
  "formula": "Pu2ZrSc",
  "functional": "PBE",
  "state": "relaxed",
  "formation_enthalpy_0k_mev_per_atom": 134,
  "crystal_system": "tetragonal",
  "dft_energy_ev_per_atom": -10.752,
  "polymorph_energy_ev_per_atom": 0.000,
  "n_ef_per_ev_atom": 3.133,
  "spacegroup": "No. 123",
  "m_tot_mub_per_fu": 11.37,
  "vol_a3_per_cell": 97.4,
  "lattice": [[3.2012, 0.0000, 0.0000], [0.0000, 3.2012, 0.0000], [0.0000, 0.0000, 9.5059]],
  "species": ["Sc", "Zr", "Pu", "Pu"],
  "fractional_positions": [[0.5000, 0.5000, 0.5000], [0.5000, 0.5000, 0.0000], [0.0000, 0.0000, 0.7551], [0.0000, 0.0000, 0.2449]]
}

---

# 2
{
  "formula": "PuZr2Sc",
  "functional": "PBE",
  "state": "relaxed",
  "formation_enthalpy_0k_mev_per_atom": 191,
  "crystal_system": "cubic",
  "dft_energy_ev_per_atom": -9.249,
  "polymorph_energy_ev_per_atom": 0.137,
  "n_ef_per_ev_atom": 3.146,
  "spacegroup": "No. 225",
  "m_tot_mub_per_fu": 6.72,
  "vol_a3_per_cell": 94.4,
  "lattice": [[5.1115, 0.0000, 0.0000], [2.5558, 4.4267, 0.0000], [2.5558, 1.4756, 4.1735]],
  "species": ["Sc", "Zr", "Zr", "Pu"],
  "fractional_positions": [[0.5000, 0.5000, 0.5000], [0.2500, 0.2500, 0.2500], [0.7500, 0.7500, 0.7500], [0.0000, 0.0000, 0.0000]]
}

---

# 3
{
  "formula": "PuZr3Sc3",
  "functional": "PBE",
  "state": "relaxed",
  "formation_enthalpy_0k_mev_per_atom": 34,
  "crystal_system": "hexagonal",
  "dft_energy_ev_per_atom": -8.390,
  "n_ef_per_ev_atom": 1.618,
  "spacegroup": "No. 176",
  "m_tot_mub_per_fu": 5.78,
  "vol_a3_per_cell": 333.8,
  "lattice": [[5.2077, 0.0000, 0.0000], [0.0000, 7.4505, -4.3015], [0.0000, 0.0000, 8.6031]],
  "species": ["Pu", "Pu", "Zr", "Zr", "Zr", "Zr", "Zr", "Zr", "Sc", "Sc", "Sc", "Sc", "Sc", "Sc"],
  "fractional_positions": [[0.2500, 0.3333, 0.6667], [0.7500, 0.6667, 0.3333], [0.7500, 0.5112, 0.9024], [0.7500, 0.3911, 0.4888], [0.2500, 0.9024, 0.3911], [0.7500, 0.0976, 0.6089], [0.2500, 0.6089, 0.5112], [0.2500, 0.4888, 0.0976], [0.7500, 0.8108, 0.7577], [0.7500, 0.9469, 0.1892], [0.2500, 0.7577, 0.9469], [0.7500, 0.2423, 0.0531], [0.2500, 0.0531, 0.8108], [0.2500, 0.1892, 0.2423]]
}

---

# 4
{
  "formula": "PuZr4Sc",
  "functional": "PBE",
  "state": "relaxed",
  "formation_enthalpy_0k_mev_per_atom": 38,
  "crystal_system": "monoclinic",
  "dft_energy_ev_per_atom": -9.105,
  "polymorph_energy_ev_per_atom": 0.000,
  "n_ef_per_ev_atom": 1.581,
  "spacegroup": "No. 13",
  "m_tot_mub_per_fu": 5.59,
  "vol_a3_per_cell": 284.0,
  "lattice": [[6.1220, -0.3978, 0.0000], [-0.5272, 8.2926, 0.0000], [0.0000, 0.0000, 5.6165]],
  "species": ["Pu", "Pu", "Zr", "Zr", "Zr", "Zr", "Zr", "Zr", "Zr", "Zr", "Sc", "Sc"],
  "fractional_positions": [[0.5000, 0.2500, 0.3408], [0.5000, 0.7500, 0.6592], [0.3365, 0.5878, 0.1648], [0.1659, 0.4183, 0.6715], [0.6635, 0.9122, 0.1648], [0.8341, 0.5817, 0.3285], [0.8341, 0.0817, 0.6715], [0.3365, 0.0878, 0.8352], [0.1659, 0.9183, 0.3285], [0.6635, 0.4122, 0.8352], [0.0000, 0.2500, 0.1617], [0.0000, 0.7500, 0.8383]]
}

---

# 5
{
  "formula": "PuZrSc2",
  "functional": "PBE",
  "state": "relaxed",
  "formation_enthalpy_0k_mev_per_atom": 94,
  "crystal_system": "tetragonal",
  "dft_energy_ev_per_atom": -8.792,
  "polymorph_energy_ev_per_atom": 0.021,
  "n_ef_per_ev_atom": 2.845,
  "spacegroup": "No. 123",
  "m_tot_mub_per_fu": 5.38,
  "vol_a3_per_cell": 95.6,
  "lattice": [[-4.3085, 1.7806, 0.5339], [-1.7644, -4.1270, -0.4748], [0.2894, -0.6367, 4.4589]],
  "species": ["Sc", "Sc", "Zr", "Pu"],
  "fractional_positions": [[0.0000, 0.0000, 0.5000], [0.0000, 0.5000, 0.0000], [0.5000, 0.5000, 0.5000], [0.5000, 0.0000, 0.0000]]
}

---

# 6
{
  "formula": "PuZrSc3",
  "functional": "PBE",
  "state": "relaxed",
  "formation_enthalpy_0k_mev_per_atom": 76,
  "crystal_system": "orthorhombic",
  "dft_energy_ev_per_atom": -8.299,
  "polymorph_energy_ev_per_atom": 0.000,
  "n_ef_per_ev_atom": 2.159,
  "spacegroup": "No. 57",
  "m_tot_mub_per_fu": 5.28,
  "vol_a3_per_cell": 477.7,
  "lattice": [[6.1926, 0.0000, 0.0000], [0.0000, 5.2738, 0.0000], [0.0000, 0.0000, 14.6264]],
  "species": ["Pu", "Pu", "Pu", "Pu", "Zr", "Zr", "Zr", "Zr", "Sc", "Sc", "Sc", "Sc", "Sc", "Sc", "Sc", "Sc", "Sc", "Sc", "Sc", "Sc"],
  "fractional_positions": [[0.7500, 0.7333, 0.6498], [0.2500, 0.2667, 0.3502], [0.7500, 0.2333, 0.3502], [0.2500, 0.7667, 0.6498], [0.5000, 0.2500, 0.1498], [0.0000, 0.7500, 0.8502], [0.5000, 0.7500, 0.8502], [0.0000, 0.2500, 0.1498], [0.0000, 0.2500, 0.5579], [0.5000, 0.7500, 0.4421], [0.0000, 0.7500, 0.4421], [0.5000, 0.2500, 0.5579], [0.2500, 0.2108, 0.9536], [0.7500, 0.7892, 0.0464], [0.2500, 0.7108, 0.0464], [0.7500, 0.2892, 0.9536], [0.2500, 0.2706, 0.7561], [0.7500, 0.7294, 0.2439], [0.2500, 0.7706, 0.2439], [0.7500, 0.2294, 0.7561]]
}

---

# 7
{
  "formula": "Pu4Se5",
  "functional": "PBE",
  "state": "relaxed",
  "crystal_system": "tetragonal",
  "dft_energy_ev_per_atom": -9.669,
  "polymorph_energy_ev_per_atom": 0.000,
  "n_ef_per_ev_atom": 4.438,
  "spacegroup": "No. 87",
  "m_tot_mub_per_fu": 22.00,
  "e_form_raw_ev_per_atom": -1.36,
  "vol_a3_per_cell": 273.5,
  "lattice": [[-1.6979, -1.8569, 3.1092], [-5.8566, -5.0020, -3.6129], [4.7167, -7.0147, 0.9590]],
  "species": ["Pu", "Pu", "Pu", "Pu", "Se", "Se", "Se", "Se", "Se"],
  "fractional_positions": [[0.0952, 0.6882, 0.1214], [0.7834, 0.1214, 0.3118], [0.2166, 0.8786, 0.6882], [0.9048, 0.3118, 0.8786], [0.2544, 0.3389, 0.1522], [0.5934, 0.1522, 0.6611], [0.4066, 0.8478, 0.3389], [0.7456, 0.6611, 0.8478], [0.0000, 0.0000, 0.0000]]
}

---

# 8
{
  "formula": "Pu3Se4",
  "functional": "PBE",
  "state": "relaxed",
  "crystal_system": "cubic",
  "dft_energy_ev_per_atom": -9.699,
  "n_ef_per_ev_atom": 3.357,
  "spacegroup": "No. 220",
  "m_tot_mub_per_fu": 16.00,
  "e_form_raw_ev_per_atom": -1.57,
  "vol_a3_per_cell": 334.1,
  "lattice": [[-0.2486, -6.1922, 4.3501], [7.1799, 1.4524, -1.9151], [-2.8320, 5.8878, 3.8264]],
  "species": ["Pu", "Pu", "Pu", "Pu", "Pu", "Pu", "Se", "Se", "Se", "Se", "Se", "Se", "Se", "Se"],
  "fractional_positions": [[0.1250, 0.8750, 0.2500], [0.3750, 0.6250, 0.7500], [0.8750, 0.2500, 0.1250], [0.6250, 0.7500, 0.3750], [0.2500, 0.1250, 0.8750], [0.7500, 0.3750, 0.6250], [0.3519, 0.3519, 0.3519], [0.1481, 0.5000, 0.0000], [0.0000, 0.1481, 0.5000], [0.8519, 0.8519, 0.8519], [0.5000, 0.0000, 0.1481], [0.6481, 0.5000, 0.0000], [0.5000, 0.0000, 0.6481], [0.0000, 0.6481, 0.5000]]
}

---

# 9
{
  "formula": "Pu2Se3",
  "functional": "PBE",
  "state": "relaxed",
  "crystal_system": "trigonal",
  "dft_energy_ev_per_atom": -9.251,
  "polymorph_energy_ev_per_atom": 0.000,
  "n_ef_per_ev_atom": 3.471,
  "spacegroup": "No. 167",
  "m_tot_mub_per_fu": 10.00,
  "e_form_raw_ev_per_atom": -1.43,
  "vol_a3_per_cell": 298.8,
  "lattice": [[-1.8562, 7.0596, 0.5302], [-1.3581, 2.9438, 6.5615], [5.1436, 4.9256, 2.9365]],
  "species": ["Se", "Se", "Se", "Se", "Se", "Se", "Pu", "Pu", "Pu", "Pu"],
  "fractional_positions": [[0.0473, 0.7500, 0.7500], [0.7500, 0.4527, 0.7500], [0.4527, 0.0473, 0.7500], [0.2500, 0.5473, 0.2500], [0.5473, 0.9527, 0.2500], [0.9527, 0.2500, 0.2500], [0.8503, 0.8503, 0.4490], [0.3503, 0.3503, 0.9490], [0.1497, 0.1497, 0.5510], [0.6497, 0.6497, 0.0510]]
}

---

# 10
{
  "formula": "Pu3Se5",
  "functional": "PBE",
  "state": "relaxed",
  "crystal_system": "monoclinic",
  "dft_energy_ev_per_atom": -8.914,
  "polymorph_energy_ev_per_atom": 0.021,
  "n_ef_per_ev_atom": 2.712,
  "spacegroup": "No. 12",
  "m_tot_mub_per_fu": 14.00,
  "e_form_raw_ev_per_atom": -1.36,
  "vol_a3_per_cell": 394.8,
  "lattice": [[6.2631, 0.1865, 2.6375], [1.5878, 7.6113, 0.6686], [0.1505, 0.0932, 8.3976]],
  "species": ["Pu", "Pu", "Pu", "Pu", "Pu", "Pu", "Se", "Se", "Se", "Se", "Se", "Se", "Se", "Se", "Se", "Se"],
  "fractional_positions": [[0.6553, 0.5004, 0.1885], [0.7447, 0.0004, 0.0098], [0.0706, 0.2043, 0.5000], [0.9286, 0.7965, 0.5000], [0.2545, 0.0004, 0.9902], [0.3438, 0.5004, 0.8115], [0.1643, 0.8775, 0.7132], [0.9880, 0.2997, 0.8758], [0.2620, 0.4862, 0.5000], [0.3775, 0.8775, 0.2868], [0.6354, 0.7011, 0.8758], [0.3638, 0.2997, 0.1242], [0.6216, 0.1233, 0.7132], [0.7371, 0.5147, 0.5000], [0.0112, 0.7011, 0.1242], [0.8349, 0.1233, 0.2868]]
}

---

# 11
{
  "formula": "Pu3Se",
  "functional": "PBE",
  "state": "relaxed",
  "crystal_system": "orthorhombic",
  "dft_energy_ev_per_atom": -12.003,
  "polymorph_energy_ev_per_atom": 0.000,
  "n_ef_per_ev_atom": 4.370,
  "spacegroup": "No. 44",
  "m_tot_mub_per_fu": 17.06,
  "e_form_raw_ev_per_atom": -0.38,
  "vol_a3_per_cell": 96.0,
  "lattice": [[3.6188, 0.0000, 0.0000], [0.0000, 5.2515, 0.0000], [-1.8094, -2.6257, 5.0523]],
  "species": ["Se", "Pu", "Pu", "Pu"],
  "fractional_positions": [[0.0000, 0.0081, 0.0000], [0.2733, 0.6142, 0.5466], [0.5000, 0.4767, 0.0000], [0.7267, 0.0676, 0.4534]]
}

---

# 12
{
  "formula": "PuSe",
  "functional": "PBE",
  "state": "relaxed",
  "crystal_system": "monoclinic",
  "dft_energy_ev_per_atom": -9.713,
  "n_ef_per_ev_atom": 1.342,
  "spacegroup": "No. 11",
  "m_tot_mub_per_fu": 0.75,
  "e_form_raw_ev_per_atom": -0.80,
  "vol_a3_per_cell": 91.9,
  "lattice": [[-0.1613, -1.6186, -3.4137], [2.5267, -2.1694, 0.9093], [-4.6751, -3.4251, 4.8192]],
  "species": ["Se", "Se", "Pu", "Pu"],
  "fractional_positions": [[0.3839, 0.7500, 0.2101], [0.6161, 0.2500, 0.7899], [0.9436, 0.7500, 0.5933], [0.0564, 0.2500, 0.4067]]
}